No. 1
DFT (PBE) results for a relaxed Ag3Sn5Au12 crystal.

Calculated volume, Å³/f.u.: 506.1
Raw total energy, eV per atom: -3.2919
ΔH_f (0 K), eV per formula unit: 2.06

Lattice parameters (Å, degrees): 13.803 13.803 13.803 109.47 109.47 109.47
Atoms (fractional coordinates):
Au 0.085 0.162 0.230
Au 0.068 0.645 0.730
Au 0.730 0.585 0.162
Au 0.855 0.585 0.923
Au 0.645 0.577 0.915
Sn 0.750 0.125 0.875
Ag 0.125 0.875 0.750
Au 0.662 0.230 0.585
Sn 0.250 0.875 0.125
Au 0.270 0.855 0.932
Sn 0.000 0.500 0.500
Sn 0.500 0.000 0.000
Ag 0.625 0.375 0.750
Ag 0.875 0.125 0.250
Au 0.338 0.568 0.423
Au 0.770 0.432 0.355
Ag 0.250 0.625 0.875
Sn 0.500 0.500 0.500
Au 0.577 0.932 0.662
Au 0.432 0.662 0.077
Au 0.838 0.915 0.270
Ag 0.375 0.750 0.625
Ag 0.250 0.125 0.375
Au 0.085 0.923 0.355
Sn 0.625 0.875 0.250
Au 0.645 0.068 0.230
Sn 0.375 0.250 0.125
Ag 0.625 0.250 0.375
Sn 0.250 0.375 0.625
Au 0.568 0.230 0.145
Au 0.585 0.855 0.423
Sn 0.875 0.250 0.625
Sn 0.750 0.625 0.375
Au 0.432 0.770 0.855
Sn 0.000 0.500 0.000
Au 0.838 0.923 0.068
Sn 0.500 0.500 0.000
Au 0.145 0.415 0.077
Au 0.932 0.577 0.162
Au 0.730 0.145 0.068
Au 0.162 0.085 0.730
Au 0.230 0.662 0.085
Ag 0.375 0.625 0.250
Au 0.855 0.270 0.432
Au 0.415 0.145 0.577
Au 0.068 0.423 0.838
Sn 0.125 0.375 0.250
Sn 0.000 0.000 0.500
Sn 0.000 0.000 0.000
Sn 0.625 0.750 0.875
Sn 0.125 0.750 0.375
Au 0.915 0.077 0.645
Au 0.423 0.068 0.338
Sn 0.500 0.000 0.500
Au 0.162 0.077 0.932
Ag 0.875 0.750 0.125
Au 0.145 0.730 0.568
Ag 0.750 0.875 0.625
Au 0.270 0.415 0.838
Ag 0.125 0.250 0.875
Au 0.585 0.730 0.662
Au 0.770 0.338 0.915
Sn 0.375 0.125 0.750
Au 0.230 0.568 0.645
Au 0.932 0.355 0.270
Au 0.923 0.838 0.568
Au 0.077 0.162 0.432
Au 0.915 0.838 0.770
Au 0.423 0.355 0.585
Au 0.415 0.270 0.338
Au 0.355 0.423 0.085
Au 0.577 0.645 0.415
Au 0.568 0.338 0.923
Au 0.923 0.085 0.855
Ag 0.750 0.375 0.125
Au 0.662 0.432 0.577
Au 0.338 0.770 0.415
Au 0.355 0.932 0.770
Au 0.077 0.915 0.145
Sn 0.875 0.625 0.750



No. 2
DFT (PBE) results for a relaxed BaTl4Tc crystal.

Calculated volume, Å³/f.u.: 181.4
Raw total energy, eV per atom: -3.1094
ΔH_f (0 K), eV per formula unit: 3.10

Lattice parameters (Å, degrees): 6.355 6.355 6.355 60.00 60.00 60.00
Atoms (fractional coordinates):
Tl 0.879 0.374 0.374
Tl 0.374 0.374 0.374
Tl 0.374 0.879 0.374
Ba 0.750 0.750 0.750
Tl 0.374 0.374 0.879
Tc 0.000 0.000 0.000



No. 3
DFT (PBE) results for a relaxed Sr3AcZn4 crystal.

Calculated volume, Å³/f.u.: 240.1
Raw total energy, eV per atom: -1.9818
ΔH_f (0 K), eV per formula unit: -1.60

Lattice parameters (Å, degrees): 3.920 3.920 15.619 90.00 90.00 90.00
Atoms (fractional coordinates):
Sr 0.500 0.500 0.250
Zn 0.000 0.000 0.121
Zn 0.000 0.000 0.879
Zn 0.000 0.000 0.626
Zn 0.000 0.000 0.374
Sr 0.500 0.500 0.500
Ac 0.500 0.500 0.000
Sr 0.500 0.500 0.750



Question: What is the raw total energy in the third record?
Answer: -1.9818 eV per atom